(1)
Material: Cs3PbI6
Method: DFT, GGA-PBE
State: optimized geometry Values from VASP.

* total energy: -52.72 eV per cell
* crystal system: orthorhombic
* formation energy from raw total energies: -1.079 eV per atom

```
&SYSTEM
  ibrav = 0, nat = 20, ntyp = 3
/
ATOMIC_SPECIES
Cs 132.91 Cs.upf
Pb 207.20 Pb.upf
I 126.90 I.upf
CELL_PARAMETERS angstrom
-2.3666 -5.1756 -3.4570
11.9940 -6.5958 1.6639
-7.5831 -3.7950 10.8730
ATOMIC_POSITIONS crystal
Cs 0.4684 0.9324 0.7044
Cs 0.9684 0.7044 0.9324
Cs 0.4577 0.3857 0.6143
Cs 0.9577 0.6143 0.3857
Cs 0.9684 0.0676 0.2956
Cs 0.4684 0.2956 0.0676
Pb 0.0854 0.2103 0.7897
Pb 0.5854 0.7897 0.2103
I 0.2145 0.6619 0.6596
I 0.7145 0.6596 0.6619
I 0.1696 0.4383 0.8775
I 0.6696 0.8775 0.4383
I 0.1194 0.0673 0.9327
I 0.6179 0.2126 0.7874
I 0.1179 0.7874 0.2126
I 0.6194 0.9327 0.0673
I 0.1696 0.1225 0.5617
I 0.6696 0.5617 0.1225
I 0.2145 0.3404 0.3381
I 0.7145 0.3381 0.3404
```

(2)
Material: Cs3Pb2I7
Method: DFT, GGA-PBE
State: optimized geometry Values from VASP.

* total energy: -34.00 eV per cell
* crystal system: tetragonal
* formation energy from raw total energies: -1.098 eV per atom

```
&SYSTEM
  ibrav = 0, nat = 12, ntyp = 3
/
ATOMIC_SPECIES
Cs 132.91 Cs.upf
Pb 207.20 Pb.upf
I 126.90 I.upf
CELL_PARAMETERS angstrom
-2.4322 4.2051 4.1351
-4.5557 1.5011 -4.2060
-5.8849 -14.2629 6.1219
ATOMIC_POSITIONS crystal
Cs 0.3215 0.3215 0.6429
Cs 0.6785 0.6785 0.3571
Cs 0.5000 0.5000 0.0000
Pb 0.1024 0.1024 0.2048
Pb 0.8976 0.8976 0.7952
I 0.0000 0.0000 0.0000
I 0.9030 0.4030 0.8059
I 0.4030 0.9030 0.8059
I 0.0970 0.5970 0.1941
I 0.5970 0.0970 0.1941
I 0.2012 0.2012 0.4025
I 0.7988 0.7988 0.5975
```

(3)
Material: CsPbI2
Method: DFT, GGA-PBE
State: optimized geometry Values from VASP.

* total energy: -10.16 eV per cell
* crystal system: cubic
* formation energy from raw total energies: -0.623 eV per atom

```
&SYSTEM
  ibrav = 0, nat = 4, ntyp = 3
/
ATOMIC_SPECIES
Pb 207.20 Pb.upf
Cs 132.91 Cs.upf
I 126.90 I.upf
CELL_PARAMETERS angstrom
0.0000 4.3941 4.3941
4.3941 0.0000 4.3941
4.3941 4.3941 0.0000
ATOMIC_POSITIONS crystal
Pb 0.5000 0.5000 0.5000
Cs 0.0000 0.0000 0.0000
I 0.2500 0.2500 0.2500
I 0.7500 0.7500 0.7500
```

(4)
Material: Cs2Pb3I8
Method: DFT, GGA-PBE
State: optimized geometry Values from VASP.

* total energy: -37.36 eV per cell
* crystal system: monoclinic
* formation energy from raw total energies: -0.933 eV per atom

```
&SYSTEM
  ibrav = 0, nat = 13, ntyp = 3
/
ATOMIC_SPECIES
Cs 132.91 Cs.upf
Pb 207.20 Pb.upf
I 126.90 I.upf
CELL_PARAMETERS angstrom
-3.0854 7.7303 -0.9840
-7.3843 -3.5826 -4.9902
0.0930 -1.6883 10.3192
ATOMIC_POSITIONS crystal
Cs 0.3275 0.2630 0.5260
Cs 0.6725 0.7370 0.4740
Pb 0.5000 0.0000 0.0000
Pb 0.0000 0.2572 0.0000
Pb 0.0000 0.7428 0.0000
I 0.9663 0.6127 0.2253
I 0.0337 0.3873 0.7747
I 0.8949 0.1032 0.2064
I 0.1051 0.8968 0.7936
I 0.6081 0.6632 0.7956
I 0.6081 0.1324 0.7956
I 0.3919 0.8676 0.2044
I 0.3919 0.3368 0.2044
```

(5)
Material: Cs3PbI
Method: DFT, GGA-PBE
State: optimized geometry Values from VASP.

* total energy: -9.74 eV per cell
* crystal system: cubic
* formation energy from raw total energies: -0.385 eV per atom

```
&SYSTEM
  ibrav = 0, nat = 5, ntyp = 3
/
ATOMIC_SPECIES
Cs 132.91 Cs.upf
Pb 207.20 Pb.upf
I 126.90 I.upf
CELL_PARAMETERS angstrom
7.3290 0.0000 0.0000
0.0000 7.3290 0.0000
0.0000 0.0000 7.3290
ATOMIC_POSITIONS crystal
Cs 0.0000 0.5000 0.0000
Cs 0.0000 0.0000 0.5000
Cs 0.5000 0.0000 0.0000
Pb 0.0000 0.0000 0.0000
I 0.5000 0.5000 0.5000
```

(6)
Material: Cs2Pb2I7
Method: DFT, GGA-PBE
State: optimized geometry Values from VASP.

* total energy: -28.86 eV per cell
* crystal system: orthorhombic
* formation energy from raw total energies: -0.808 eV per atom

```
&SYSTEM
  ibrav = 0, nat = 11, ntyp = 3
/
ATOMIC_SPECIES
Cs 132.91 Cs.upf
Pb 207.20 Pb.upf
I 126.90 I.upf
CELL_PARAMETERS angstrom
-6.0759 1.0680 4.9725
5.5768 -1.2309 7.0781
2.4300 7.5173 -0.6069
ATOMIC_POSITIONS crystal
Cs 0.7745 0.5000 0.7745
Cs 0.2255 0.5000 0.2255
Pb 0.7304 0.0000 0.2696
Pb 0.2696 0.0000 0.7304
I 0.0000 0.2329 0.5000
I 0.5000 0.7671 0.0000
I 0.0000 0.7671 0.5000
I 0.5000 0.2329 0.0000
I 0.0000 0.0000 0.0000
I 0.5000 0.7798 0.5000
I 0.5000 0.2202 0.5000
```

(7)
Material: Cs6PbI8
Method: DFT, GGA-PBE
State: optimized geometry Values from VASP.

* total energy: -41.64 eV per cell
* crystal system: trigonal
* formation energy from raw total energies: -1.361 eV per atom

```
&SYSTEM
  ibrav = 0, nat = 15, ntyp = 3
/
ATOMIC_SPECIES
Cs 132.91 Cs.upf
Pb 207.20 Pb.upf
I 126.90 I.upf
CELL_PARAMETERS angstrom
-3.1669 8.2516 -4.6349
-8.4286 -1.7411 -5.0525
-7.8714 3.9485 4.6960
ATOMIC_POSITIONS crystal
Cs 0.0597 0.4844 0.6951
Cs 0.3049 0.9403 0.5156
Cs 0.5156 0.3049 0.9403
Cs 0.4844 0.6951 0.0597
Cs 0.6951 0.0597 0.4844
Cs 0.9403 0.5156 0.3049
Pb 0.0000 0.0000 0.0000
I 0.1622 0.6833 0.9065
I 0.0935 0.8378 0.3167
I 0.3167 0.0935 0.8378
I 0.6553 0.6553 0.6553
I 0.3447 0.3447 0.3447
I 0.6833 0.9065 0.1622
I 0.9065 0.1622 0.6833
I 0.8378 0.3167 0.0935
```

(8)
Material: CsPb2I2
Method: DFT, GGA-PBE
State: optimized geometry Values from VASP.

* total energy: -14.46 eV per cell
* crystal system: tetragonal
* formation energy from raw total energies: -0.619 eV per atom

```
&SYSTEM
  ibrav = 0, nat = 5, ntyp = 3
/
ATOMIC_SPECIES
Pb 207.20 Pb.upf
Cs 132.91 Cs.upf
I 126.90 I.upf
CELL_PARAMETERS angstrom
-2.6145 2.9643 -2.4260
-3.8159 -2.2714 1.3371
-3.9419 6.3386 7.5605
ATOMIC_POSITIONS crystal
Pb 0.7500 0.2500 0.5000
Pb 0.2500 0.7500 0.5000
Cs 0.0000 0.0000 0.0000
I 0.3912 0.3912 0.2175
I 0.6088 0.6088 0.7825
```

(9)
Material: CsPb3I
Method: DFT, GGA-PBE
State: optimized geometry Values from VASP.

* total energy: -8.10 eV per cell
* crystal system: cubic
* formation energy from raw total energies: 1.085 eV per atom

```
&SYSTEM
  ibrav = 0, nat = 5, ntyp = 3
/
ATOMIC_SPECIES
Pb 207.20 Pb.upf
Cs 132.91 Cs.upf
I 126.90 I.upf
CELL_PARAMETERS angstrom
6.5112 0.0000 0.0000
0.0000 6.5112 0.0000
0.0000 0.0000 6.5112
ATOMIC_POSITIONS crystal
Pb 0.0000 0.5000 0.0000
Pb 0.0000 0.0000 0.5000
Pb 0.5000 0.0000 0.0000
Cs 0.0000 0.0000 0.0000
I 0.5000 0.5000 0.5000
```

(10)
Material: Cs2PdPbI6
Method: DFT, GGA-PBE
State: optimized geometry Values from VASP.

* total energy: -28.18 eV per cell
* crystal system: tetragonal
* formation energy from raw total energies: -0.827 eV per atom

```
&SYSTEM
  ibrav = 0, nat = 10, ntyp = 4
/
ATOMIC_SPECIES
Pb 207.20 Pb.upf
Cs 132.91 Cs.upf
I 126.90 I.upf
Pd 106.42 Pd.upf
CELL_PARAMETERS angstrom
8.4808 0.0000 0.0000
0.0000 8.4808 0.0000
4.2404 4.2404 6.0129
ATOMIC_POSITIONS crystal
Pb 0.0000 0.0000 0.0000
Cs 0.7500 0.2500 0.5000
Cs 0.2500 0.7500 0.5000
I 0.2634 0.2634 0.4732
I 0.7366 0.7366 0.5268
I 0.2639 0.2639 0.0000
I 0.7361 0.7361 0.0000
I 0.7361 0.2639 0.0000
I 0.2639 0.7361 0.0000
Pd 0.5000 0.5000 0.0000
```

(11)
Material: Cs3Pd2PbI9
Method: DFT, GGA-PBE
State: optimized geometry Values from VASP.

* total energy: -42.55 eV per cell
* crystal system: trigonal
* formation energy from raw total energies: -0.797 eV per atom

```
&SYSTEM
  ibrav = 0, nat = 15, ntyp = 4
/
ATOMIC_SPECIES
Cs 132.91 Cs.upf
Pd 106.42 Pd.upf
Pb 207.20 Pb.upf
I 126.90 I.upf
CELL_PARAMETERS angstrom
8.3257 0.0000 0.0000
-4.1628 7.2102 0.0000
0.0000 0.0000 10.2304
ATOMIC_POSITIONS crystal
Cs 0.3333 0.6667 0.6715
Cs 0.0000 0.0000 0.0000
Cs 0.6667 0.3333 0.3285
Pd 0.3333 0.6667 0.1513
Pd 0.6667 0.3333 0.8487
Pb 0.0000 0.0000 0.5000
I 0.8246 0.1754 0.6834
I 0.8246 0.6492 0.6834
I 0.3508 0.1754 0.6834
I 0.6492 0.8246 0.3166
I 0.1754 0.3508 0.3166
I 0.1754 0.8246 0.3166
I 0.5000 0.0000 0.0000
I 0.0000 0.5000 0.0000
I 0.5000 0.5000 0.0000
```

(12)
Material: Cs2PdPbI6
Method: DFT, GGA-PBE
State: optimized geometry Values from VASP.

* total energy: -28.13 eV per cell
* crystal system: tetragonal
* formation energy from raw total energies: -0.822 eV per atom

```
&SYSTEM
  ibrav = 0, nat = 10, ntyp = 4
/
ATOMIC_SPECIES
Cs 132.91 Cs.upf
Pd 106.42 Pd.upf
Pb 207.20 Pb.upf
I 126.90 I.upf
CELL_PARAMETERS angstrom
6.1296 0.0000 0.0000
0.0000 6.1296 0.0000
0.0000 0.0000 11.8182
ATOMIC_POSITIONS crystal
Cs 0.0000 0.0000 0.7288
Cs 0.0000 0.0000 0.2712
Pd 0.5000 0.5000 0.5000
Pb 0.5000 0.5000 0.0000
I 0.5000 0.0000 0.0000
I 0.5000 0.0000 0.5000
I 0.0000 0.5000 0.0000
I 0.0000 0.5000 0.5000
I 0.5000 0.5000 0.7281
I 0.5000 0.5000 0.2719
```